No. 1
BeCu2MoP: single point on PBEsol structure, meta-GGA SCAN.

Results
- DOS(E_F): 0.625 states/eV/atom
- Energy relative to the elements: 1829 meV/atom
- V: 88.0 Å³ per cell

Cell and atoms, written as CIF:
```
data_BeCu2MoP
_chemical_formula_sum 'Be1 Cu2 Mo1 P1'
_cell_length_a 4.543
_cell_length_b 4.543
_cell_length_c 4.263
_cell_angle_alpha 90.00
_cell_angle_beta 90.00
_cell_angle_gamma 90.00
_symmetry_space_group_name_H-M 'P 1'
_symmetry_Int_Tables_number 1
loop_
_symmetry_equiv_pos_as_xyz
'x,y,z'
loop_
_atom_site_label
_atom_site_type_symbol
_atom_site_fract_x
_atom_site_fract_y
_atom_site_fract_z
_atom_site_occupancy
Be1 Be 0.000 0.000 0.000 1
Cu1 Cu 0.000 0.500 0.500 1
Cu2 Cu 0.500 0.000 0.500 1
Mo1 Mo 0.000 0.000 0.500 1
P1 P 0.500 0.500 0.000 1
```


No. 2
TlMo2Os: single point on PBEsol structure, meta-GGA SCAN.

Results
- DOS(E_F): 1.012 states/eV/atom
- Energy relative to the elements: 709 meV/atom
- Excess energy over the best structure of this formula in the dataset: 0.549 eV/f.u.
- V: 64.5 Å³ per cell

Cell and atoms, written as CIF:
```
data_TlMo2Os
_chemical_formula_sum 'Tl1 Mo2 Os1'
_cell_length_a 3.924
_cell_length_b 3.924
_cell_length_c 4.188
_cell_angle_alpha 90.00
_cell_angle_beta 90.00
_cell_angle_gamma 90.00
_symmetry_space_group_name_H-M 'P 1'
_symmetry_Int_Tables_number 1
loop_
_symmetry_equiv_pos_as_xyz
'x,y,z'
loop_
_atom_site_label
_atom_site_type_symbol
_atom_site_fract_x
_atom_site_fract_y
_atom_site_fract_z
_atom_site_occupancy
Tl1 Tl 0.000 0.000 0.000 1
Mo1 Mo 0.000 0.500 0.500 1
Mo2 Mo 0.500 0.000 0.500 1
Os1 Os 0.500 0.500 0.000 1
```


No. 3
KYTl: single point on PBEsol structure, meta-GGA SCAN.

Results
- DOS(E_F): 1.562 states/eV/atom
- Energy relative to the elements: 140 meV/atom
- V: 109.2 Å³ per cell

Cell and atoms, written as CIF:
```
data_KYTl
_chemical_formula_sum 'K1 Y1 Tl1'
_cell_length_a 5.365
_cell_length_b 5.365
_cell_length_c 5.365
_cell_angle_alpha 60.00
_cell_angle_beta 60.00
_cell_angle_gamma 60.00
_symmetry_space_group_name_H-M 'P 1'
_symmetry_Int_Tables_number 1
loop_
_symmetry_equiv_pos_as_xyz
'x,y,z'
loop_
_atom_site_label
_atom_site_type_symbol
_atom_site_fract_x
_atom_site_fract_y
_atom_site_fract_z
_atom_site_occupancy
K1 K 0.000 0.000 0.000 1
Y1 Y 0.500 0.500 0.500 1
Tl1 Tl 0.250 0.250 0.250 1
```


No. 4
RbCd3As: single point on PBEsol structure, meta-GGA SCAN.

Results
- DOS(E_F): 0.518 states/eV/atom
- Energy relative to the elements: 152 meV/atom
- V: 159.1 Å³ per cell

Cell and atoms, written as CIF:
```
data_RbCd3As
_chemical_formula_sum 'Rb1 Cd3 As1'
_cell_length_a 5.419
_cell_length_b 5.419
_cell_length_c 5.419
_cell_angle_alpha 90.00
_cell_angle_beta 90.00
_cell_angle_gamma 90.00
_symmetry_space_group_name_H-M 'P 1'
_symmetry_Int_Tables_number 1
loop_
_symmetry_equiv_pos_as_xyz
'x,y,z'
loop_
_atom_site_label
_atom_site_type_symbol
_atom_site_fract_x
_atom_site_fract_y
_atom_site_fract_z
_atom_site_occupancy
Rb1 Rb 0.000 0.000 0.000 1
Cd1 Cd 0.000 0.500 0.500 1
Cd2 Cd 0.500 0.000 0.500 1
Cd3 Cd 0.500 0.500 0.000 1
As1 As 0.500 0.500 0.500 1
```


No. 5
FeCu2Pt: single point on PBEsol structure, meta-GGA SCAN.

Results
- DOS(E_F): 0.486 states/eV/atom
- Energy relative to the elements: -143 meV/atom
- V: 49.6 Å³ per cell

Cell and atoms, written as CIF:
```
data_FeCu2Pt
_chemical_formula_sum 'Fe1 Cu2 Pt1'
_cell_length_a 4.500
_cell_length_b 4.500
_cell_length_c 4.460
_cell_angle_alpha 99.87
_cell_angle_beta 99.87
_cell_angle_gamma 33.93
_symmetry_space_group_name_H-M 'P 1'
_symmetry_Int_Tables_number 1
loop_
_symmetry_equiv_pos_as_xyz
'x,y,z'
loop_
_atom_site_label
_atom_site_type_symbol
_atom_site_fract_x
_atom_site_fract_y
_atom_site_fract_z
_atom_site_occupancy
Fe1 Fe 0.000 0.000 0.000 1
Cu1 Cu 0.252 0.252 0.760 1
Cu2 Cu 0.748 0.748 0.240 1
Pt1 Pt 0.500 0.500 0.500 1
```


No. 6
ZnRe2Au: single point on PBEsol structure, meta-GGA SCAN.

Results
- DOS(E_F): 0.572 states/eV/atom
- Energy relative to the elements: 174 meV/atom
- V: 60.3 Å³ per cell

Cell and atoms, written as CIF:
```
data_ZnRe2Au
_chemical_formula_sum 'Zn1 Re2 Au1'
_cell_length_a 2.806
_cell_length_b 3.853
_cell_length_c 5.581
_cell_angle_alpha 90.00
_cell_angle_beta 90.81
_cell_angle_gamma 90.00
_symmetry_space_group_name_H-M 'P 1'
_symmetry_Int_Tables_number 1
loop_
_symmetry_equiv_pos_as_xyz
'x,y,z'
loop_
_atom_site_label
_atom_site_type_symbol
_atom_site_fract_x
_atom_site_fract_y
_atom_site_fract_z
_atom_site_occupancy
Zn1 Zn 0.000 0.000 0.000 1
Re1 Re 0.029 0.000 0.528 1
Re2 Re 0.478 0.500 0.722 1
Au1 Au 0.504 0.500 0.223 1
```


No. 7
SnI3Br: single point on PBEsol structure, meta-GGA SCAN.

Results
- DOS(E_F): 0.993 states/eV/atom
- Formation energy from raw total energies: 45 kJ per mole of atoms
- V: 193.3 Å³ per cell

Cell and atoms, written as CIF:
```
data_SnI3Br
_chemical_formula_sum 'Sn1 I3 Br1'
_cell_length_a 5.782
_cell_length_b 5.782
_cell_length_c 5.782
_cell_angle_alpha 90.00
_cell_angle_beta 90.00
_cell_angle_gamma 90.00
_symmetry_space_group_name_H-M 'P 1'
_symmetry_Int_Tables_number 1
loop_
_symmetry_equiv_pos_as_xyz
'x,y,z'
loop_
_atom_site_label
_atom_site_type_symbol
_atom_site_fract_x
_atom_site_fract_y
_atom_site_fract_z
_atom_site_occupancy
Sn1 Sn 0.000 0.000 0.000 1
I1 I 0.000 0.500 0.500 1
I2 I 0.500 0.000 0.500 1
I3 I 0.500 0.500 0.000 1
Br1 Br 0.500 0.500 0.500 1
```


No. 8
Al2BiNO: single point on PBEsol structure, meta-GGA SCAN.

Results
- DOS(E_F): 0.430 states/eV/atom
- Formation energy from raw total energies: 141 kJ per mole of atoms
- V: 128.5 Å³ per cell

Cell and atoms, written as CIF:
```
data_Al2BiNO
_chemical_formula_sum 'Al2 Bi1 N1 O1'
_cell_length_a 5.507
_cell_length_b 5.507
_cell_length_c 4.236
_cell_angle_alpha 90.00
_cell_angle_beta 90.00
_cell_angle_gamma 90.00
_symmetry_space_group_name_H-M 'P 1'
_symmetry_Int_Tables_number 1
loop_
_symmetry_equiv_pos_as_xyz
'x,y,z'
loop_
_atom_site_label
_atom_site_type_symbol
_atom_site_fract_x
_atom_site_fract_y
_atom_site_fract_z
_atom_site_occupancy
Al1 Al 0.000 0.500 0.000 1
Al2 Al 0.500 0.000 0.000 1
Bi1 Bi 0.000 0.000 0.000 1
N1 N 0.500 0.500 0.500 1
O1 O 0.000 0.000 0.500 1
```


No. 9
FeRe2Ru: single point on PBEsol structure, meta-GGA SCAN.

Results
- DOS(E_F): 0.661 states/eV/atom
- Energy relative to the elements: 133 meV/atom
- Excess energy over the best structure of this formula in the dataset: 0.436 eV/f.u.
- V: 52.7 Å³ per cell

Cell and atoms, written as CIF:
```
data_FeRe2Ru
_chemical_formula_sum 'Fe1 Re2 Ru1'
_cell_length_a 2.676
_cell_length_b 3.684
_cell_length_c 5.349
_cell_angle_alpha 90.00
_cell_angle_beta 90.00
_cell_angle_gamma 90.00
_symmetry_space_group_name_H-M 'P 1'
_symmetry_Int_Tables_number 1
loop_
_symmetry_equiv_pos_as_xyz
'x,y,z'
loop_
_atom_site_label
_atom_site_type_symbol
_atom_site_fract_x
_atom_site_fract_y
_atom_site_fract_z
_atom_site_occupancy
Fe1 Fe 0.000 0.000 0.000 1
Re1 Re 0.500 0.500 0.236 1
Re2 Re 0.500 0.500 0.764 1
Ru1 Ru 0.000 0.000 0.500 1
```


No. 10
HPdBr2: single point on PBEsol structure, meta-GGA SCAN.

Results
- DOS(E_F): 0.354 states/eV/atom
- Excess energy over the best structure of this formula in the dataset: 0.000 eV/f.u.
- V: 147.7 Å³ per cell

Cell and atoms, written as CIF:
```
data_HPdBr2
_chemical_formula_sum 'H2 Pd2 Br4'
_cell_length_a 6.291
_cell_length_b 6.291
_cell_length_c 6.291
_cell_angle_alpha 128.67
_cell_angle_beta 128.67
_cell_angle_gamma 75.54
_symmetry_space_group_name_H-M 'P 1'
_symmetry_Int_Tables_number 1
loop_
_symmetry_equiv_pos_as_xyz
'x,y,z'
loop_
_atom_site_label
_atom_site_type_symbol
_atom_site_fract_x
_atom_site_fract_y
_atom_site_fract_z
_atom_site_occupancy
H1 H 0.000 0.000 0.000 1
H2 H 0.750 0.250 0.500 1
Pd1 Pd 0.250 0.750 0.500 1
Pd2 Pd 0.500 0.500 0.000 1
Br1 Br 0.064 0.625 0.939 1
Br2 Br 0.375 0.314 0.439 1
Br3 Br 0.686 0.125 0.061 1
Br4 Br 0.875 0.936 0.561 1
```


No. 11
Ca2Rh: single point on PBEsol structure, meta-GGA SCAN.

Results
- DOS(E_F): 0.839 states/eV/atom
- Energy relative to the elements: -276 meV/atom
- V: 78.5 Å³ per cell

Cell and atoms, written as CIF:
```
data_Ca2Rh
_chemical_formula_sum 'Ca2 Rh1'
_cell_length_a 4.807
_cell_length_b 4.807
_cell_length_c 4.807
_cell_angle_alpha 60.00
_cell_angle_beta 60.00
_cell_angle_gamma 60.00
_symmetry_space_group_name_H-M 'P 1'
_symmetry_Int_Tables_number 1
loop_
_symmetry_equiv_pos_as_xyz
'x,y,z'
loop_
_atom_site_label
_atom_site_type_symbol
_atom_site_fract_x
_atom_site_fract_y
_atom_site_fract_z
_atom_site_occupancy
Ca1 Ca 0.250 0.250 0.250 1
Ca2 Ca 0.750 0.750 0.750 1
Rh1 Rh 0.000 0.000 0.000 1
```


No. 12
CaBS2Cl: single point on PBEsol structure, meta-GGA SCAN.

Results
- DOS(E_F): 0.585 states/eV/atom
- Formation energy from raw total energies: 51 kJ per mole of atoms
- V: 143.0 Å³ per cell

Cell and atoms, written as CIF:
```
data_CaBS2Cl
_chemical_formula_sum 'Ca1 B1 S2 Cl1'
_cell_length_a 5.275
_cell_length_b 5.275
_cell_length_c 5.138
_cell_angle_alpha 90.00
_cell_angle_beta 90.00
_cell_angle_gamma 90.00
_symmetry_space_group_name_H-M 'P 1'
_symmetry_Int_Tables_number 1
loop_
_symmetry_equiv_pos_as_xyz
'x,y,z'
loop_
_atom_site_label
_atom_site_type_symbol
_atom_site_fract_x
_atom_site_fract_y
_atom_site_fract_z
_atom_site_occupancy
Ca1 Ca 0.000 0.000 0.000 1
B1 B 0.500 0.500 0.500 1
S1 S 0.000 0.500 0.000 1
S2 S 0.500 0.000 0.000 1
Cl1 Cl 0.000 0.000 0.500 1
```


| no. | uncorrected energy (eV for the cell shown) |
| --- | --- |
| 1 | -70.89 |
| 2 | -211.17 |
| 3 | -108.11 |
| 4 | -131.41 |
| 5 | -119.29 |
| 6 | -224.17 |
| 7 | -163.27 |
| 8 | -102.29 |
| 9 | -194.62 |
| 10 | -147.99 |
| 11 | -53.93 |
| 12 | -41.67 |